# 1
## Al2InCu2 (GGA-PBE)

Data for an optimized crystal structure of Al2InCu2.

The excess energy over the best structure of this formula in the dataset comes out at 105 meV per atom.

The structure belongs to space group I4/mmm (No. 139); the cell edges are 3.766, 3.766 and 12.228 Å and the angles 90.00°, 90.00° and 90.00°. The inequivalent atoms are Al at (0.000, 0.000, 0.110), In at (0.000, 0.000, 0.500) and Cu at (0.000, 0.500, 0.250).

---

# 2
## Dy2ScCd4 (GGA-PBE)

Data for an optimized crystal structure of Dy2ScCd4.

The excess energy over the best structure of this formula in the dataset comes out at 364 meV per atom.

The structure belongs to space group I4/mmm (No. 139); the cell edges are 5.373, 5.373 and 15.423 Å and the angles 90.00°, 90.00° and 90.00°. The inequivalent atoms are Dy at (0.000, 0.000, 0.108), Sc at (0.000, 0.000, 0.500), Cd at (0.000, 0.000, 0.312) and Cd at (0.000, 0.500, 0.000).

---

Density of states at the Fermi level for every record listed, in sequence, given in states/eV per cell: 5.295, 13.969.
Electronic total energy for every record listed, in sequence, given in eV per cell: -35.73, -34.94.
Energy of formation from the pure elements for every record listed, in sequence, given in eV/atom: 0.1100, 0.2463.